1.
Here is CsCaBe2C after structural relaxation from the Alexandria database. Energies are from PBE-GGA.

```
CsCaBe2C
1.0
-0.9114 3.2397 2.0065
-3.2107 -3.3066 3.8805
3.1878 -0.4823 2.2266
Be Cs Ca C
2 1 1 1
Cartesian
1.5939 -0.2411 1.1133
-0.4557 1.6199 1.0033
-1.6053 -1.6533 1.9403
-0.4671 -0.2746 4.0568
0.0000 0.0000 0.0000
```

ρ in kg/m3: 3645
ΔH_f (0 K) in eV/f.u.: 6.6
Total magnetization in μB/cell: 0.0
Energy in eV for the cell shown: -12.887
SG: P4/mmm (123)

---

2.
Here is CaBe2IrC after structural relaxation from the Alexandria database. Energies are from PBE-GGA.

```
CaBe2IrC
1.0
-1.4479 3.9686 1.0186
-3.3630 -1.5753 1.3573
1.7681 -0.3693 3.9524
Be C Ca Ir
2 1 1 1
Cartesian
0.8841 -0.1847 1.9762
-0.7240 1.9843 0.5093
-1.6815 -0.7877 0.6786
-1.5214 1.0120 3.1641
0.0000 0.0000 0.0000
```

ρ in kg/m3: 5834
ΔH_f (0 K) in eV/f.u.: 1.2
Total magnetization in μB/cell: 0.0
Energy in eV for the cell shown: -26.333
SG: P4/mmm (123)

---

3.
Here is CaLa2BeC2 after structural relaxation from the Alexandria database. Energies are from PBE-GGA.

```
CaLa2BeC2
1.0
3.8832 0.0000 0.0000
0.0000 5.7583 0.0000
0.0000 0.0000 11.3038
La C Ca Be
4 4 2 2
Cartesian
0.0000 2.9265 3.3478
1.9416 0.0474 2.3041
0.0000 2.8318 7.9560
1.9416 5.7109 8.9997
1.9416 4.0964 4.4618
0.0000 4.5410 10.1137
1.9416 1.6619 6.8420
0.0000 1.2173 1.1901
1.9416 2.8792 0.0000
0.0000 0.0000 5.6519
1.9416 2.8792 5.6519
0.0000 0.0000 0.0000
```

ρ in kg/m3: 4611
ΔH_f (0 K) in eV/f.u.: 0.6
Total magnetization in μB/cell: 2.8
Energy in eV for the cell shown: -66.843
SG: Pnnm (58)

---

4.
Here is Ca3BeC2N6 after structural relaxation from the Alexandria database. Energies are from PBE-GGA.

```
Ca3BeC2N6
1.0
-4.8663 1.6822 -0.4670
0.9917 -5.0740 0.0073
-0.6185 -0.1122 6.0413
N C Ca Be
6 2 3 1
Cartesian
-3.7896 -1.9309 3.9168
-4.2399 0.3729 3.9135
-0.2533 -3.8769 1.6681
-2.0304 -0.3909 4.1256
-0.7035 -1.5731 1.6648
-2.4628 -3.1131 1.4561
-3.3592 -0.6507 4.0427
-1.1340 -2.8533 1.5389
0.0000 0.0000 0.0000
-1.3789 -2.8977 3.9315
-3.1142 -0.6063 1.6501
-0.3093 -0.0561 3.0206
```

Formation energy (no corrections) in meV per atom: -404
ρ in kg/m3: 2803
Total magnetization in μB/cell: 0.0
Energy in eV for the cell shown: -82.984
SG: P-3m1 (164)

---

5.
Here is CaBe2CO after structural relaxation from the Alexandria database. Energies are from PBE-GGA.

```
CaBe2CO
1.0
-0.0039 4.7725 3.2904
-2.9815 -1.6028 2.3213
3.9840 -2.3879 3.4682
Ca Be C O
1 2 1 1
Cartesian
0.0000 0.0000 0.0000
-0.0019 2.3862 1.6452
1.9920 -1.1940 1.7341
0.4993 0.3908 4.5399
-1.4908 -0.8014 1.1607
```

Formation energy (no corrections) in meV per atom: 2143
ρ in kg/m3: 1037
Total magnetization in μB/cell: 2.2
Energy in eV for the cell shown: -12.921
SG: P4/mmm (123)

---

6.
Here is Ca2BePbC after structural relaxation from the Alexandria database. Energies are from PBE-GGA.

```
Ca2BePbC
1.0
5.9629 0.0000 0.0000
0.0000 4.4478 0.0000
0.0000 0.0000 5.9629
C Pb Ca Be
1 1 2 1
Cartesian
2.9814 2.2239 2.9814
0.0000 0.0000 0.0000
2.9814 0.0000 0.0000
0.0000 0.0000 2.9814
0.0000 2.2239 0.0000
```

ρ in kg/m3: 3238
ΔH_f (0 K) in eV/f.u.: 6.7
Total magnetization in μB/cell: 2.0
Energy in eV for the cell shown: -13.928
SG: P4/mmm (123)

---

7.
Here is CaBe2PdC after structural relaxation from the Alexandria database. Energies are from PBE-GGA.

```
CaBe2PdC
1.0
4.2702 0.0000 0.0000
0.0000 4.1215 0.0000
0.0000 0.0000 4.2702
C Pd Ca Be
1 1 1 2
Cartesian
0.0000 2.0607 0.0000
0.0000 0.0000 0.0000
2.1351 2.0607 2.1351
0.0000 0.0000 2.1351
2.1351 0.0000 0.0000
```

ρ in kg/m3: 3900
ΔH_f (0 K) in eV/f.u.: 3.2
Total magnetization in μB/cell: 0.0
Energy in eV for the cell shown: -20.653
SG: P4/mmm (123)

---

8.
Here is Ca2BeCSe after structural relaxation from the Alexandria database. Energies are from PBE-GGA.

```
Ca2BeCSe
1.0
5.3052 0.0000 0.0000
0.0000 3.2888 0.0000
0.0000 0.0000 5.3052
Ca Be C Se
2 1 1 1
Cartesian
2.6526 0.0000 0.0000
0.0000 0.0000 2.6526
0.0000 0.0000 0.0000
0.0000 1.6444 0.0000
2.6526 1.6444 2.6526
```

Formation energy (no corrections) in meV per atom: -394
ρ in kg/m3: 3232
Total magnetization in μB/cell: 0.0
Energy in eV for the cell shown: -22.407
SG: P4/mmm (123)

---

> The highest energy belongs to which entry?

CsCaBe2C